(1)
Compound: CdSi2Cl
Source: Alexandria via LeMat-Bulk
Functional: PBE-GGA
Structure: optimized geometry

Values from the calculation:
Its crystal system is tetragonal. The value obtained for the energy relative to the elements, uncorrected is 275.2 kJ/mol of formula units. The energy above the lowest structure with this stoichiometry is 666 meV/atom. The calculation puts the density of states at the Fermi level at 0.838 states/eV per atom.

a = 5.6941 Å, b = 5.6941 Å, c = 7.8294 Å
α = 68.68°, β = 68.68°, γ = 90.00°
Positions (direct):
Cd  0.0000  0.0000  0.0000
Cd  0.7500  0.2500  0.5000
Si  0.6347  0.1250  0.2500
Si  0.8750  0.8847  0.7500
Cl  0.2500  0.7500  0.5000
Si  0.3750  0.3653  0.7500
Si  0.1153  0.6250  0.2500
Cl  0.5000  0.5000  0.0000


(2)
Compound: CdSiCl2
Source: Alexandria via LeMat-Bulk
Functional: PBE-GGA
Structure: optimized geometry

Values from the calculation:
Its crystal system is tetragonal. The value obtained for the energy relative to the elements, uncorrected is 53.1 kJ/mol of formula units. The energy above the lowest structure with this stoichiometry is 486 meV/atom. The calculation puts the density of states at the Fermi level at 0.576 states/eV per atom.

a = 4.0926 Å, b = 4.6335 Å, c = 4.6335 Å
α = 90.00°, β = 90.00°, γ = 90.00°
Positions (direct):
Cd  0.5000  0.0000  0.5000
Cl  0.0000  0.5000  0.5000
Cl  0.0000  0.0000  0.0000
Si  0.5000  0.5000  0.0000


(3)
Compound: CdSi2Cl
Source: Alexandria via LeMat-Bulk
Functional: PBE-GGA
Structure: optimized geometry

Values from the calculation:
Its crystal system is tetragonal. The value obtained for the energy relative to the elements, uncorrected is 184.4 kJ/mol of formula units. The energy above the lowest structure with this stoichiometry is 431 meV/atom. The calculation puts the density of states at the Fermi level at 0.207 states/eV per atom.

a = 3.0216 Å, b = 3.0216 Å, c = 8.4946 Å
α = 90.00°, β = 90.00°, γ = 90.00°
Positions (direct):
Si  0.0000  0.0000  0.5042
Cd  0.5000  0.5000  0.2500
Si  0.0000  0.0000  0.9958
Cl  0.5000  0.5000  0.7500


(4)
Compound: CdSiCl2
Source: Alexandria via LeMat-Bulk
Functional: PBE-GGA
Structure: optimized geometry

Values from the calculation:
Its crystal system is monoclinic. The value obtained for the energy relative to the elements, uncorrected is -132.8 kJ/mol of formula units. The energy above the lowest structure with this stoichiometry is 4 meV/atom.

a = 6.3144 Å, b = 6.3144 Å, c = 5.6416 Å
α = 64.54°, β = 64.54°, γ = 36.33°
Positions (direct):
Cl  0.7493  0.7493  0.7000
Si  0.5847  0.5847  0.6355
Cd  0.1796  0.1796  0.2184
Cl  0.9864  0.9864  0.9461


(5)
Compound: CdSi2Cl
Source: Alexandria via LeMat-Bulk
Functional: PBE-GGA
Structure: optimized geometry

Values from the calculation:
Its crystal system is cubic. The value obtained for the energy relative to the elements, uncorrected is 167.8 kJ/mol of formula units. The energy above the lowest structure with this stoichiometry is 388 meV/atom. The calculation puts the density of states at the Fermi level at 0.344 states/eV per atom.

a = 4.7762 Å, b = 4.7762 Å, c = 4.7762 Å
α = 60.00°, β = 60.00°, γ = 60.00°
Positions (direct):
Si  0.0000  0.0000  0.0000
Cl  0.7500  0.7500  0.7500
Cd  0.5000  0.5000  0.5000
Si  0.2500  0.2500  0.2500


(6)
Compound: CdSi2Cl
Source: Alexandria via LeMat-Bulk
Functional: PBE-GGA
Structure: optimized geometry

Values from the calculation:
Its crystal system is orthorhombic. The value obtained for the energy relative to the elements, uncorrected is 152.7 kJ/mol of formula units. The energy above the lowest structure with this stoichiometry is 349 meV/atom. The calculation puts the density of states at the Fermi level at 0.421 states/eV per atom.

a = 2.9014 Å, b = 5.0872 Å, c = 5.3629 Å
α = 90.00°, β = 90.00°, γ = 90.00°
Positions (direct):
Si  0.0000  0.0000  0.0107
Cd  0.5000  0.5000  0.2500
Cl  0.5000  0.5000  0.7500
Si  0.0000  0.0000  0.4893


(7)
Compound: CdSiCl2
Source: Alexandria via LeMat-Bulk
Functional: PBE-GGA
Structure: optimized geometry

Values from the calculation:
Its crystal system is orthorhombic. The value obtained for the energy relative to the elements, uncorrected is -83.1 kJ/mol of formula units. The energy above the lowest structure with this stoichiometry is 133 meV/atom. The calculation puts the density of states at the Fermi level at 0.124 states/eV per atom.

a = 7.3279 Å, b = 7.3279 Å, c = 7.3279 Å
α = 153.30°, β = 140.73°, γ = 48.12°
Positions (direct):
Si  0.7500  0.2500  0.5000
Cl  0.6056  0.6056  0.0000
Cd  0.2500  0.7500  0.5000
Cl  0.8944  0.8944  0.0000


(8)
Compound: CdSi2Cl
Source: Alexandria via LeMat-Bulk
Functional: PBE-GGA
Structure: optimized geometry

Values from the calculation:
Its crystal system is trigonal. The value obtained for the energy relative to the elements, uncorrected is 165.2 kJ/mol of formula units. The energy above the lowest structure with this stoichiometry is 381 meV/atom. The calculation puts the density of states at the Fermi level at 0.137 states/eV per atom.

a = 9.8562 Å, b = 9.8562 Å, c = 9.8562 Å
α = 17.57°, β = 17.57°, γ = 17.57°
Positions (direct):
Si  0.0074  0.0074  0.0074
Cd  0.2500  0.2500  0.2500
Cl  0.7500  0.7500  0.7500
Si  0.4926  0.4926  0.4926


(9)
Compound: CdSi2Cl
Source: Alexandria via LeMat-Bulk
Functional: PBE-GGA
Structure: optimized geometry

Values from the calculation:
Its crystal system is tetragonal. The value obtained for the energy relative to the elements, uncorrected is 132.8 kJ/mol of formula units. The energy above the lowest structure with this stoichiometry is 297 meV/atom. The calculation puts the density of states at the Fermi level at 0.485 states/eV per atom.

a = 6.1592 Å, b = 3.7045 Å, c = 3.7045 Å
α = 90.00°, β = 90.00°, γ = 90.00°
Positions (direct):
Cl  0.5000  0.0000  0.5000
Si  0.0000  0.5000  0.5000
Si  0.0000  0.0000  0.0000
Cd  0.5000  0.5000  0.0000


(10)
Compound: CdSiCl2
Source: Alexandria via LeMat-Bulk
Functional: PBE-GGA
Structure: optimized geometry

Values from the calculation:
Its crystal system is trigonal. The value obtained for the energy relative to the elements, uncorrected is -79.9 kJ/mol of formula units. The energy above the lowest structure with this stoichiometry is 141 meV/atom. The calculation puts the density of states at the Fermi level at 0.000 states/eV per atom.

a = 10.8221 Å, b = 10.8221 Å, c = 10.8221 Å
α = 20.01°, β = 20.01°, γ = 20.01°
Positions (direct):
Si  0.5000  0.5000  0.5000
Cd  0.0000  0.0000  0.0000
Cl  0.8801  0.8801  0.8801
Cl  0.1199  0.1199  0.1199


(11)
Compound: CdSiCl2
Source: Alexandria via LeMat-Bulk
Functional: PBE-GGA
Structure: optimized geometry

Values from the calculation:
Its crystal system is orthorhombic. The value obtained for the energy relative to the elements, uncorrected is -68.3 kJ/mol of formula units. The energy above the lowest structure with this stoichiometry is 171 meV/atom. The calculation puts the density of states at the Fermi level at 0.406 states/eV per atom.

a = 3.5013 Å, b = 3.5013 Å, c = 9.0016 Å
α = 90.00°, β = 90.00°, γ = 113.57°
Positions (direct):
Si  0.0000  0.0000  0.5048
Cl  0.0000  0.0000  0.9297
Cl  0.5000  0.5000  0.3243
Cd  0.5000  0.5000  0.7412


(12)
Compound: CdSiCl2
Source: Alexandria via LeMat-Bulk
Functional: PBE-GGA
Structure: optimized geometry

Values from the calculation:
Its crystal system is orthorhombic. The value obtained for the energy relative to the elements, uncorrected is 50.1 kJ/mol of formula units. The energy above the lowest structure with this stoichiometry is 478 meV/atom. The calculation puts the density of states at the Fermi level at 0.389 states/eV per atom.

a = 5.0326 Å, b = 5.0326 Å, c = 3.6187 Å
α = 90.00°, β = 90.00°, γ = 102.88°
Positions (direct):
Si  0.5000  0.0000  0.5000
Cl  0.0000  0.0000  0.0000
Cl  0.5000  0.5000  0.0000
Cd  0.0000  0.5000  0.5000


| no. | total magnetization (μB/atom) |
| --- | --- |
| 1 | 0.000 |
| 2 | 0.000 |
| 3 | 0.000 |
| 4 | 0.000 |
| 5 | 0.000 |
| 6 | 0.000 |
| 7 | 0.000 |
| 8 | 0.000 |
| 9 | 0.000 |
| 10 | 0.000 |
| 11 | 0.000 |
| 12 | 0.000 |